Entry 1:
The following is a GGA-PBE calculation of TlReNi2 after structural relaxation, from Alexandria via LeMat-Bulk.

```
data_TlReNi2
_chemical_formula_sum 'Tl4 Re4 Ni8'
_cell_length_a 6.887
_cell_length_b 6.887
_cell_length_c 5.494
_cell_angle_alpha 90.00
_cell_angle_beta 90.00
_cell_angle_gamma 90.00
_symmetry_space_group_name_H-M 'I -4 2 d'
_symmetry_Int_Tables_number 122
_symmetry_space_group_name_Hall 'I -4 2bw'
loop_
_atom_site_label
_atom_site_type_symbol
_atom_site_fract_x
_atom_site_fract_y
_atom_site_fract_z
Tl1 Tl 0.000 0.000 0.000
Re1 Re 0.000 0.000 0.500
Ni1 Ni 0.222 0.750 0.625
```

Total energy in eV per formula unit: -22.915
Crystal system: tetragonal
Formation energy from the elements in meV per atom: 866
M_tot in Bohr magnetons per cell: 0.00



Entry 2:
The following is a GGA-PBE calculation of Tl2ReNi after structural relaxation, from Alexandria via LeMat-Bulk.

```
data_Tl2ReNi
_chemical_formula_sum 'Tl2 Re1 Ni1'
_cell_length_a 4.609
_cell_length_b 4.609
_cell_length_c 3.376
_cell_angle_alpha 90.00
_cell_angle_beta 90.00
_cell_angle_gamma 90.00
_symmetry_space_group_name_H-M 'P 4/m m m'
_symmetry_Int_Tables_number 123
_symmetry_space_group_name_Hall '-P 4 2'
loop_
_atom_site_label
_atom_site_type_symbol
_atom_site_fract_x
_atom_site_fract_y
_atom_site_fract_z
Tl1 Tl 0.000 0.500 0.000
Re1 Re 0.000 0.000 0.500
Ni1 Ni 0.500 0.500 0.500
```

Total energy in eV per formula unit: -19.529
Crystal system: tetragonal
Formation energy from the elements in meV per atom: 858
M_tot in Bohr magnetons per cell: 0.00



Entry 3:
The following is a GGA-PBE calculation of TlReNi2 after structural relaxation, from Alexandria via LeMat-Bulk.

```
data_TlReNi2
_chemical_formula_sum 'Tl2 Re2 Ni4'
_cell_length_a 2.802
_cell_length_b 4.547
_cell_length_c 9.223
_cell_angle_alpha 90.00
_cell_angle_beta 90.00
_cell_angle_gamma 90.00
_symmetry_space_group_name_H-M 'I m m 2'
_symmetry_Int_Tables_number 44
loop_
_symmetry_equiv_pos_as_xyz
'x,y,z'
'-x,-y,z'
'-x,y,z'
'x,-y,z'
'x+1/2,y+1/2,z+1/2'
'-x+1/2,-y+1/2,z+1/2'
'-x+1/2,y+1/2,z+1/2'
'x+1/2,-y+1/2,z+1/2'
loop_
_atom_site_label
_atom_site_type_symbol
_atom_site_fract_x
_atom_site_fract_y
_atom_site_fract_z
Tl1 Tl 0.000 0.000 0.000
Re1 Re 0.000 0.500 0.222
Ni1 Ni 0.000 0.000 0.485
Ni2 Ni 0.000 0.500 0.755
```

Total energy in eV per formula unit: -24.153
Crystal system: orthorhombic
Formation energy from the elements in meV per atom: 556
M_tot in Bohr magnetons per cell: 1.19



Entry 4:
The following is a GGA-PBE calculation of Tl2ReNi after structural relaxation, from Alexandria via LeMat-Bulk.

```
data_Tl2ReNi
_chemical_formula_sum 'Tl4 Re2 Ni2'
_cell_length_a 6.214
_cell_length_b 9.210
_cell_length_c 2.958
_cell_angle_alpha 90.00
_cell_angle_beta 117.50
_cell_angle_gamma 90.00
_symmetry_space_group_name_H-M 'C 1 2/m 1'
_symmetry_Int_Tables_number 12
loop_
_symmetry_equiv_pos_as_xyz
'x,y,z'
'-x,-y,-z'
'-x,y,-z'
'x,-y,z'
'x+1/2,y+1/2,z'
'-x+1/2,-y+1/2,-z'
'-x+1/2,y+1/2,-z'
'x+1/2,-y+1/2,z'
loop_
_atom_site_label
_atom_site_type_symbol
_atom_site_fract_x
_atom_site_fract_y
_atom_site_fract_z
Tl1 Tl 0.250 0.250 0.000
Re1 Re 0.000 0.000 0.500
Ni1 Ni 0.000 0.500 0.500
```

Total energy in eV per formula unit: -19.237
Crystal system: monoclinic
Formation energy from the elements in meV per atom: 931
M_tot in Bohr magnetons per cell: 0.00



Entry 5:
The following is a GGA-PBE calculation of Tl2ReNi after structural relaxation, from Alexandria via LeMat-Bulk.

```
data_Tl2ReNi
_chemical_formula_sum 'Tl8 Re4 Ni4'
_cell_length_a 4.147
_cell_length_b 4.147
_cell_length_c 18.973
_cell_angle_alpha 90.00
_cell_angle_beta 90.00
_cell_angle_gamma 90.00
_symmetry_space_group_name_H-M 'I -4 2 d'
_symmetry_Int_Tables_number 122
_symmetry_space_group_name_Hall 'I -4 2bw'
loop_
_atom_site_label
_atom_site_type_symbol
_atom_site_fract_x
_atom_site_fract_y
_atom_site_fract_z
Tl1 Tl 0.248 0.250 0.125
Re1 Re 0.000 0.000 0.500
Ni1 Ni 0.000 0.000 0.000
```

Total energy in eV per formula unit: -18.049
Crystal system: tetragonal
Formation energy from the elements in meV per atom: 1228
M_tot in Bohr magnetons per cell: 3.24



Entry 6:
The following is a GGA-PBE calculation of Tl2ReNi after structural relaxation, from Alexandria via LeMat-Bulk.

```
data_Tl2ReNi
_chemical_formula_sum 'Tl6 Re3 Ni3'
_cell_length_a 3.0908
_cell_length_b 3.0908
_cell_length_c 26.3233
_cell_angle_alpha 90.00
_cell_angle_beta 90.00
_cell_angle_gamma 120.00
_symmetry_space_group_name_H-M 'R -3 m'
_symmetry_Int_Tables_number 166
_symmetry_space_group_name_Hall '-R 3 2"'
loop_
_atom_site_label
_atom_site_type_symbol
_atom_site_fract_x
_atom_site_fract_y
_atom_site_fract_z
Tl1 Tl 0.0000 0.0000 0.2447
Re1 Re 0.0000 0.0000 0.0000
Ni1 Ni 0.0000 0.0000 0.5000
```

Total energy in eV per formula unit: -19.663
Crystal system: trigonal
Formation energy from the elements in meV per atom: 825
M_tot in Bohr magnetons per cell: 1.16



Entry 7:
The following is a GGA-PBE calculation of TlReNi2 after structural relaxation, from Alexandria via LeMat-Bulk.

```
data_TlReNi2
_chemical_formula_sum 'Tl1 Re1 Ni2'
_cell_length_a 2.936
_cell_length_b 2.936
_cell_length_c 6.884
_cell_angle_alpha 90.00
_cell_angle_beta 90.00
_cell_angle_gamma 90.00
_symmetry_space_group_name_H-M 'P 4 m m'
_symmetry_Int_Tables_number 99
loop_
_symmetry_equiv_pos_as_xyz
'x,y,z'
'-y,x,z'
'-x,-y,z'
'y,-x,z'
'-x,y,z'
'y,x,z'
'x,-y,z'
'-y,-x,z'
loop_
_atom_site_label
_atom_site_type_symbol
_atom_site_fract_x
_atom_site_fract_y
_atom_site_fract_z
Tl1 Tl 0.000 0.000 0.000
Re1 Re 0.500 0.500 0.672
Ni1 Ni 0.000 0.000 0.471
Ni2 Ni 0.500 0.500 0.272
```

Total energy in eV per formula unit: -24.561
Crystal system: tetragonal
Formation energy from the elements in meV per atom: 454
M_tot in Bohr magnetons per cell: 0.00



Entry 8:
The following is a GGA-PBE calculation of TlReNi2 after structural relaxation, from Alexandria via LeMat-Bulk.

```
data_TlReNi2
_chemical_formula_sum 'Tl2 Re2 Ni4'
_cell_length_a 4.137
_cell_length_b 4.137
_cell_length_c 6.842
_cell_angle_alpha 90.00
_cell_angle_beta 90.00
_cell_angle_gamma 90.00
_symmetry_space_group_name_H-M 'I 4/m m m'
_symmetry_Int_Tables_number 139
_symmetry_space_group_name_Hall '-I 4 2'
loop_
_atom_site_label
_atom_site_type_symbol
_atom_site_fract_x
_atom_site_fract_y
_atom_site_fract_z
Tl1 Tl 0.000 0.000 0.000
Re1 Re 0.000 0.000 0.500
Ni1 Ni 0.000 0.500 0.250
```

Total energy in eV per formula unit: -23.984
Crystal system: tetragonal
Formation energy from the elements in meV per atom: 598
M_tot in Bohr magnetons per cell: 3.01



Entry 9:
The following is a GGA-PBE calculation of Tl2ReNi after structural relaxation, from Alexandria via LeMat-Bulk.

```
data_Tl2ReNi
_chemical_formula_sum 'Tl8 Re4 Ni4'
_cell_length_a 6.618
_cell_length_b 6.618
_cell_length_c 6.618
_cell_angle_alpha 90.00
_cell_angle_beta 90.00
_cell_angle_gamma 90.00
_symmetry_space_group_name_H-M 'F m -3 m'
_symmetry_Int_Tables_number 225
_symmetry_space_group_name_Hall '-F 4 2 3'
loop_
_atom_site_label
_atom_site_type_symbol
_atom_site_fract_x
_atom_site_fract_y
_atom_site_fract_z
Tl1 Tl 0.250 0.250 0.250
Re1 Re 0.000 0.000 0.000
Ni1 Ni 0.000 0.000 0.500
```

Total energy in eV per formula unit: -19.065
Crystal system: cubic
Formation energy from the elements in meV per atom: 974
M_tot in Bohr magnetons per cell: 0.00



Entry 10:
The following is a GGA-PBE calculation of TlReNi2 after structural relaxation, from Alexandria via LeMat-Bulk.

```
data_TlReNi2
_chemical_formula_sum 'Tl2 Re2 Ni4'
_cell_length_a 8.628
_cell_length_b 2.815
_cell_length_c 5.017
_cell_angle_alpha 90.00
_cell_angle_beta 99.78
_cell_angle_gamma 90.00
_symmetry_space_group_name_H-M 'C 1 m 1'
_symmetry_Int_Tables_number 8
loop_
_symmetry_equiv_pos_as_xyz
'x,y,z'
'x,-y,z'
'x+1/2,y+1/2,z'
'x+1/2,-y+1/2,z'
loop_
_atom_site_label
_atom_site_type_symbol
_atom_site_fract_x
_atom_site_fract_y
_atom_site_fract_z
Tl1 Tl 0.000 0.000 0.000
Re1 Re 0.238 0.000 0.663
Ni1 Ni 0.254 0.500 0.251
Ni2 Ni 0.497 0.000 0.489
```

Total energy in eV per formula unit: -24.450
Crystal system: monoclinic
Formation energy from the elements in meV per atom: 482
M_tot in Bohr magnetons per cell: 0.00